Entry from Alexandria: a relaxed structure of KCrRu (PBE-GGA).

Unit cell a=4.842 b=4.842 c=4.842 alpha=60.00 beta=60.00 gamma=60.00
Sites, in units of the cell vectors:
K 0.000 0.000 0.000
Cr 0.750 0.750 0.750
Ru 0.250 0.250 0.250

Calculated density = 3.97 g/cm³
E_tot = -4.32 eV/atom
Relative energy among the computed polymorphs = 1593 meV per atom
Space-group type = F-43m
Calculated formation energy = 2.3474 eV/atom